(1)
# Ba3ScAl2O8, optimized geometry, DFT PBE
# crystal system = trigonal
# energy = -0.2607 Ha/atom
# magnetic moment = 1.064 Bohr magnetons per cell
# E_form (uncorrected) = -3865.7 kJ/mol of formula units
data_Ba3ScAl2O8
_symmetry_space_group_name_H-M 'P -3 m 1'
_symmetry_Int_Tables_number 164
_symmetry_space_group_name_Hall '-P 3 2"'
_cell_length_a 5.8088
_cell_length_b 5.8088
_cell_length_c 7.5020
_cell_angle_alpha 90.00
_cell_angle_beta 90.00
_cell_angle_gamma 120.00
loop_
_atom_site_label
_atom_site_fract_x
_atom_site_fract_y
_atom_site_fract_z
Ba1 0.0000 0.0000 0.0000
Ba2 0.3333 0.6667 0.6660
Sc1 0.0000 0.0000 0.5000
Al1 0.3333 0.6667 0.2381
O1 0.1693 0.3387 0.3286
O2 0.3333 0.6667 0.0053

---

(2)
# LiNd2SnO, optimized geometry, DFT PBE
# crystal system = tetragonal
# energy = -0.2052 Ha/atom
# magnetic moment = 0.000 Bohr magnetons per cell
# E_form (uncorrected) = -723.8 kJ/mol of formula units
data_LiNd2SnO
_symmetry_space_group_name_H-M 'P 4/m m m'
_symmetry_Int_Tables_number 123
_symmetry_space_group_name_Hall '-P 4 2'
_cell_length_a 4.958
_cell_length_b 4.958
_cell_length_c 4.416
_cell_angle_alpha 90.00
_cell_angle_beta 90.00
_cell_angle_gamma 90.00
loop_
_atom_site_label
_atom_site_fract_x
_atom_site_fract_y
_atom_site_fract_z
Li1 0.000 0.000 0.000
Nd1 0.000 0.500 0.500
Sn1 0.500 0.500 0.000
O1 0.000 0.000 0.500

---

(3)
# KCuSe2, optimized geometry, DFT PBE
# crystal system = tetragonal
# energy = -0.1101 Ha/atom
# magnetic moment = 0.000 Bohr magnetons per cell
# E_form (uncorrected) = 16.8 kJ/mol of formula units
data_KCuSe2
_symmetry_space_group_name_H-M 'I 4/m m m'
_symmetry_Int_Tables_number 139
_symmetry_space_group_name_Hall '-I 4 2'
_cell_length_a 4.690
_cell_length_b 4.690
_cell_length_c 8.071
_cell_angle_alpha 90.00
_cell_angle_beta 90.00
_cell_angle_gamma 90.00
loop_
_atom_site_label
_atom_site_fract_x
_atom_site_fract_y
_atom_site_fract_z
K1 0.000 0.000 0.000
Cu1 0.000 0.000 0.500
Se1 0.000 0.500 0.250

---

(4)
# CuNiMo2, optimized geometry, DFT PBE
# formation energy from the elements = 0.1563 eV/atom
# crystal system = monoclinic
# energy = -0.2840 Ha/atom
# magnetic moment = 0.000 Bohr magnetons per cell
data_CuNiMo2
_symmetry_space_group_name_H-M 'C 1 m 1'
_symmetry_Int_Tables_number 8
_cell_length_a 8.848
_cell_length_b 2.615
_cell_length_c 4.795
_cell_angle_alpha 90.00
_cell_angle_beta 97.67
_cell_angle_gamma 90.00
loop_
_symmetry_equiv_pos_as_xyz
'x,y,z'
'x,-y,z'
'x+1/2,y+1/2,z'
'x+1/2,-y+1/2,z'
loop_
_atom_site_label
_atom_site_fract_x
_atom_site_fract_y
_atom_site_fract_z
Cu1 0.000 0.000 0.000
Ni1 0.256 0.000 0.767
Mo1 0.015 0.500 0.520
Mo2 0.250 0.500 0.245

---

(5)
# YAg2Pd3, optimized geometry, DFT PBE
# formation energy from the elements = -0.4897 eV/atom
# crystal system = orthorhombic
# energy = -0.1879 Ha/atom
# magnetic moment = 0.000 Bohr magnetons per cell
data_YAg2Pd3
_symmetry_space_group_name_H-M 'C m m m'
_symmetry_Int_Tables_number 65
_symmetry_space_group_name_Hall '-C 2 2'
_cell_length_a 4.247
_cell_length_b 12.798
_cell_length_c 3.938
_cell_angle_alpha 90.00
_cell_angle_beta 90.00
_cell_angle_gamma 90.00
loop_
_atom_site_label
_atom_site_fract_x
_atom_site_fract_y
_atom_site_fract_z
Y1 0.000 0.000 0.000
Ag1 0.000 0.330 0.000
Pd1 0.000 0.168 0.500
Pd2 0.000 0.500 0.500

---

(6)
# EuGdTm2, optimized geometry, DFT PBE
# formation energy from the elements = 0.1440 eV/atom
# crystal system = tetragonal
# energy = -0.3006 Ha/atom
# magnetic moment = 15.111 Bohr magnetons per cell
data_EuGdTm2
_symmetry_space_group_name_H-M 'P 4/m m m'
_symmetry_Int_Tables_number 123
_symmetry_space_group_name_Hall '-P 4 2'
_cell_length_a 5.818
_cell_length_b 5.818
_cell_length_c 3.869
_cell_angle_alpha 90.00
_cell_angle_beta 90.00
_cell_angle_gamma 90.00
loop_
_atom_site_label
_atom_site_fract_x
_atom_site_fract_y
_atom_site_fract_z
Eu1 0.000 0.000 0.000
Gd1 0.500 0.500 0.000
Tm1 0.000 0.500 0.500

---

(7)
# HoAgSn2, optimized geometry, DFT PBE
# formation energy from the elements = -0.4270 eV/atom
# crystal system = tetragonal
# energy = -0.1575 Ha/atom
# magnetic moment = 0.000 Bohr magnetons per cell
data_HoAgSn2
_symmetry_space_group_name_H-M 'P 4/m m m'
_symmetry_Int_Tables_number 123
_symmetry_space_group_name_Hall '-P 4 2'
_cell_length_a 4.651
_cell_length_b 4.651
_cell_length_c 4.375
_cell_angle_alpha 90.00
_cell_angle_beta 90.00
_cell_angle_gamma 90.00
loop_
_atom_site_label
_atom_site_fract_x
_atom_site_fract_y
_atom_site_fract_z
Ho1 0.000 0.000 0.000
Ag1 0.500 0.500 0.000
Sn1 0.000 0.500 0.500

---

(8)
# HRhN2O, optimized geometry, DFT PBE
# crystal system = tetragonal
# energy = -0.1769 Ha/atom
# magnetic moment = 0.122 Bohr magnetons per cell
data_HRhN2O
_symmetry_space_group_name_H-M 'P 4/m m m'
_symmetry_Int_Tables_number 123
_symmetry_space_group_name_Hall '-P 4 2'
_cell_length_a 3.765
_cell_length_b 3.765
_cell_length_c 4.121
_cell_angle_alpha 90.00
_cell_angle_beta 90.00
_cell_angle_gamma 90.00
loop_
_atom_site_label
_atom_site_fract_x
_atom_site_fract_y
_atom_site_fract_z
H1 0.000 0.000 0.000
Rh1 0.500 0.500 0.500
N1 0.000 0.500 0.500
O1 0.500 0.500 0.000